First-principles (GGA+U) data for an optimized crystal structure of FeRhO3, as listed in Alexandria via LeMat-Bulk.

Output
E (eV per atom): -6.569
Crystal system: monoclinic
V (Å³ per cell): 111
Magnetic moment (μB per formula unit): 5.02

abc: 3.1388 5.7724 6.5445
angles: 102.82 90.00 105.78
Each line ends with the local moment (μB).
Fractional positions:
Fe (0.3745, 0.7489, 0.6738)  4.26
Rh (0.1611, 0.3223, 0.8259)  0.17
O (0.0247, 0.0493, 0.2944)  0.27
Rh (0.8389, 0.6777, 0.1741)  0.17
Fe (0.6255, 0.2510, 0.3262)  4.26
O (0.6999, 0.3997, 0.6373)  0.14
O (0.3001, 0.6003, 0.3627)  0.14
O (0.9753, 0.9507, 0.7056)  0.27
O (0.6535, 0.3070, 0.0272)  0.08
O (0.3465, 0.6929, 0.9728)  0.08